No. 1
Density functional theory data (PBE) for a relaxed NdTaHg crystal.

Lattice parameters (Å, degrees): 4.8878 4.8878 4.8878 60.00 60.00 60.00
Last column: nearest neighbours and their distance in Å.
Atoms (fractional coordinates):
Nd (0.0000, 0.0000, 0.0000)  4 Hg 2.99
Ta (0.5000, 0.5000, 0.5000)  4 Hg 2.99
Hg (0.2500, 0.2500, 0.2500)  4 Ta 2.99, 4 Nd 2.99

Computed properties:
Volume ... 82.6 Å³/f.u.
ρ ... 10.6 Mg/m³
Energy relative to the lowest polymorph listed for this composition ... 0.0 meV/atom
Final energy ... -4.86 eV per atom
Formation enthalpy at 0 K ... 0.782 eV/atom
Space group ... F-43m, No. 216

No. 2
Density functional theory data (PBE) for a relaxed BaPrMg4Au2 crystal.

Lattice parameters (Å, degrees): 5.9220 8.9824 8.9824 37.62 90.00 90.00
Last column: nearest neighbours and their distance in Å.
Atoms (fractional coordinates):
Ba (0.0000, 0.0000, 0.0000)  3 Au 3.01-3.24
Pr (0.0000, 0.2358, 0.2358)  2 Au 3.16, 6 Mg 3.24-3.43
Mg (0.2507, 0.4054, 0.4054)  1 Au 2.84, 2 Mg 2.95-2.97
Mg (0.2600, 0.6768, 0.6768)  2 Au 2.68-2.74, 1 Mg 2.84
Mg (0.7400, 0.6768, 0.6768)  2 Au 2.68-2.74, 1 Mg 2.84
Mg (0.7493, 0.4054, 0.4054)  1 Au 2.84, 2 Mg 2.95-2.97
Au (0.0000, 0.5475, 0.5475)  4 Mg 2.68-2.84
Au (0.0000, 0.8097, 0.8097)  2 Mg 2.74

Computed properties:
Volume ... 291.7 Å³/f.u.
ρ ... 4.4 Mg/m³
Final energy ... -2.35 eV per atom
Space group ... Amm2, No. 38

No. 3
Density functional theory data (PBE) for a relaxed TmThCo crystal.

Lattice parameters (Å, degrees): 4.6786 4.6786 4.6786 60.00 60.00 60.00
Last column: nearest neighbours and their distance in Å.
Atoms (fractional coordinates):
Tm (0.0000, 0.0000, 0.0000)  4 Co 2.87, 4 Th 2.87
Th (0.2500, 0.2500, 0.2500)  4 Tm 2.87
Co (0.7500, 0.7500, 0.7500)  4 Tm 2.87

Computed properties:
Volume ... 72.4 Å³/f.u.
ρ ... 10.5 Mg/m³
Energy relative to the lowest polymorph listed for this composition ... 0.0 meV/atom
Final energy ... -5.51 eV per atom
Formation enthalpy at 0 K ... 0.823 eV/atom
Space group ... F-43m, No. 216

No. 4
Density functional theory data (PBE) for a relaxed Tm3HfIn2C2 crystal.

Lattice parameters (Å, degrees): 3.4783 3.4783 15.7606 90.00 90.00 120.00
Last column: nearest neighbours and their distance in Å.
Atoms (fractional coordinates):
Tm (0.0000, 0.0000, 0.0000)  3 C 2.41
Tm (0.0000, 0.0000, 0.3383)  3 C 2.49
Tm (0.3333, 0.6667, 0.8307)  3 C 2.42
Hf (0.3333, 0.6667, 0.4999)  3 C 2.28
In (0.0000, 0.0000, 0.6607)  3 Hf 3.23, 3 Tm 3.35, 6 In 3.48
In (0.3333, 0.6667, 0.1714)  6 Tm 3.31-3.37, 6 In 3.48
C (0.6667, 0.3333, 0.4312)  3 Hf 2.28, 3 Tm 2.49
C (0.6667, 0.3333, 0.9159)  6 Tm 2.41-2.42

Computed properties:
Volume ... 165.1 Å³/f.u.
ρ ... 9.4 Mg/m³
Final energy ... -6.41 eV per atom
Space group ... P3m1, No. 156

No. 5
Density functional theory data (PBE) for a relaxed Hg2SeO5 crystal.

Lattice parameters (Å, degrees): 9.7018 7.1438 14.7752 90.00 110.51 90.00
Last column: nearest neighbours and their distance in Å.
Atoms (fractional coordinates):
Hg (0.0044, 0.1336, 0.1260)  2 O 2.20
Hg (0.0044, 0.3664, 0.6260)  2 O 2.20
Hg (0.3362, 0.6248, 0.6461)  2 O 2.07-2.08
Hg (0.3362, 0.8752, 0.1461)  2 O 2.07-2.08
Hg (0.3382, 0.1276, 0.6478)  2 O 2.08-2.09
Hg (0.3382, 0.3724, 0.1478)  2 O 2.08-2.09
Hg (0.3523, 0.1278, 0.3767)  2 O 2.15-2.22
Hg (0.3523, 0.3722, 0.8767)  2 O 2.15-2.22
Hg (0.6477, 0.6278, 0.1233)  2 O 2.15-2.22
Hg (0.6477, 0.8722, 0.6233)  2 O 2.15-2.22
Hg (0.6618, 0.6276, 0.8522)  2 O 2.08-2.09
Hg (0.6618, 0.8724, 0.3522)  2 O 2.08-2.09
Hg (0.6638, 0.1248, 0.8539)  2 O 2.07-2.08
Hg (0.6638, 0.3752, 0.3539)  2 O 2.07-2.08
Hg (0.9956, 0.6336, 0.3740)  2 O 2.20
Hg (0.9956, 0.8664, 0.8740)  2 O 2.20
Se (0.0361, 0.1506, 0.3898)  4 O 1.66-1.71
Se (0.0361, 0.3494, 0.8898)  4 O 1.66-1.71
Se (0.3427, 0.6473, 0.3834)  4 O 1.67-1.71
Se (0.3427, 0.8527, 0.8834)  4 O 1.67-1.71
Se (0.6573, 0.1473, 0.1166)  4 O 1.67-1.71
Se (0.6573, 0.3527, 0.6166)  4 O 1.67-1.71
Se (0.9639, 0.6506, 0.1102)  4 O 1.66-1.71
Se (0.9639, 0.8494, 0.6102)  4 O 1.66-1.71
O (0.0278, 0.6842, 0.5544)  1 Se 1.68
O (0.0278, 0.8158, 0.0544)  1 Se 1.68
O (0.0630, 0.2460, 0.2941)  1 Se 1.67
O (0.0630, 0.2540, 0.7941)  1 Se 1.67
O (0.0768, 0.0317, 0.6332)  1 Se 1.66
O (0.0768, 0.4683, 0.1332)  1 Se 1.66
O (0.2072, 0.0762, 0.4616)  1 Se 1.71
O (0.2072, 0.4238, 0.9616)  1 Se 1.71
O (0.2337, 0.5926, 0.4490)  1 Se 1.71
O (0.2337, 0.9074, 0.9490)  1 Se 1.71
O (0.2458, 0.1230, 0.1733)  3 Hg 2.08-2.20
O (0.2458, 0.3770, 0.6733)  3 Hg 2.08-2.20
O (0.2558, 0.6923, 0.8010)  1 Se 1.67
O (0.2558, 0.8077, 0.3010)  1 Se 1.67
O (0.3728, 0.0459, 0.8293)  1 Se 1.67
O (0.3728, 0.4541, 0.3293)  1 Se 1.67
O (0.4477, 0.6249, 0.1545)  3 Hg 2.07-2.15
O (0.4477, 0.8751, 0.6545)  3 Hg 2.07-2.15
O (0.4970, 0.2314, 0.0434)  1 Se 1.67
O (0.4970, 0.2686, 0.5434)  1 Se 1.67
O (0.5030, 0.7314, 0.4566)  1 Se 1.67
O (0.5030, 0.7686, 0.9566)  1 Se 1.67
O (0.5523, 0.1249, 0.3455)  3 Hg 2.07-2.15
O (0.5523, 0.3751, 0.8455)  3 Hg 2.07-2.15
O (0.6272, 0.5459, 0.6707)  1 Se 1.67
O (0.6272, 0.9541, 0.1707)  1 Se 1.67
O (0.7442, 0.1923, 0.6990)  1 Se 1.67
O (0.7442, 0.3077, 0.1990)  1 Se 1.67
O (0.7542, 0.6230, 0.3267)  3 Hg 2.08-2.20
O (0.7542, 0.8770, 0.8267)  3 Hg 2.08-2.20
O (0.7663, 0.0926, 0.0510)  1 Se 1.71
O (0.7663, 0.4074, 0.5510)  1 Se 1.71
O (0.7928, 0.5762, 0.0384)  1 Se 1.71
O (0.7928, 0.9238, 0.5384)  1 Se 1.71
O (0.9232, 0.5317, 0.8668)  1 Se 1.66
O (0.9232, 0.9683, 0.3668)  1 Se 1.66
O (0.9370, 0.7460, 0.2059)  1 Se 1.67
O (0.9370, 0.7540, 0.7059)  1 Se 1.67
O (0.9722, 0.1842, 0.9456)  1 Se 1.68
O (0.9722, 0.3158, 0.4456)  1 Se 1.68

Computed properties:
Volume ... 119.9 Å³/f.u.
ρ ... 7.8 Mg/m³
Final energy ... -4.07 eV per atom
Space group ... P2_1/c, No. 14

No. 6
Density functional theory data (PBE) for a relaxed KZrAsO crystal.

Lattice parameters (Å, degrees): 4.1210 8.1280 6.5015 90.00 90.00 90.00
Last column: nearest neighbours and their distance in Å.
Atoms (fractional coordinates):
K (0.0000, 0.1806, 0.0000)  2 O 2.84
K (0.0000, 0.8194, 0.5000)  2 O 2.84
Zr (0.5000, 0.3951, 0.5880)  2 O 2.01-2.04
Zr (0.5000, 0.6049, 0.0880)  2 O 2.01-2.04
As (0.0000, 0.2188, 0.4873)  2 Zr 2.59
As (0.0000, 0.7812, 0.9873)  2 Zr 2.59
O (0.5000, 0.4074, 0.9007)  2 Zr 2.01-2.04
O (0.5000, 0.5926, 0.4007)  2 Zr 2.01-2.04

Computed properties:
Volume ... 108.9 Å³/f.u.
ρ ... 3.4 Mg/m³
Energy relative to the lowest polymorph listed for this composition ... 0.0 meV/atom
Final energy ... -6.39 eV per atom
Space group ... Pmc2_1, No. 26

No. 7
Density functional theory data (PBE) for a relaxed GaBAu crystal.

Lattice parameters (Å, degrees): 4.0909 4.0909 4.0909 60.00 60.00 60.00
Last column: nearest neighbours and their distance in Å.
Atoms (fractional coordinates):
Ga (0.0000, 0.0000, 0.0000)  4 B 2.51, 4 Au 2.51
B (0.2500, 0.2500, 0.2500)  4 Ga 2.51
Au (0.7500, 0.7500, 0.7500)  4 Ga 2.51

Computed properties:
Volume ... 48.4 Å³/f.u.
ρ ... 9.5 Mg/m³
Energy relative to the lowest polymorph listed for this composition ... 211.2 meV/atom
Final energy ... -3.42 eV per atom
Space group ... F-43m, No. 216

No. 8
Density functional theory data (PBE) for a relaxed ZrOsNO crystal.

Lattice parameters (Å, degrees): 4.5606 4.5606 4.3928 90.00 90.00 90.00
Last column: nearest neighbours and their distance in Å.
Atoms (fractional coordinates):
Zr (0.2500, 0.7500, 0.0000)  2 O 2.20, 4 N 2.31
Zr (0.7500, 0.2500, 0.0000)  2 O 2.20, 4 N 2.31
Os (0.2500, 0.2500, 0.4198)  2 N 2.18-2.21, 4 O 2.31
Os (0.7500, 0.7500, 0.5802)  2 N 2.18-2.21, 4 O 2.31
N (0.2500, 0.2500, 0.9229)  2 Os 2.18-2.21, 4 Zr 2.31
N (0.7500, 0.7500, 0.0771)  2 Os 2.18-2.21, 4 Zr 2.31
O (0.2500, 0.7500, 0.5000)  2 Zr 2.20, 4 Os 2.31
O (0.7500, 0.2500, 0.5000)  2 Zr 2.20, 4 Os 2.31

Computed properties:
Volume ... 45.7 Å³/f.u.
ρ ... 11.3 Mg/m³
Energy relative to the lowest polymorph listed for this composition ... 573.7 meV/atom
Final energy ... -8.82 eV per atom
Space group ... P4/nmm, No. 129

No. 9
Density functional theory data (PBE) for a relaxed BaNaLuS3 crystal.

Lattice parameters (Å, degrees): 14.0397 4.1725 10.3779 90.00 90.00 90.00
Last column: nearest neighbours and their distance in Å.
Atoms (fractional coordinates):
Ba (0.2392, 0.2500, 0.0382)  7 S 3.17-3.47
Ba (0.2608, 0.7500, 0.5382)  7 S 3.17-3.47
Ba (0.7392, 0.2500, 0.4618)  7 S 3.17-3.47
Ba (0.7608, 0.7500, 0.9618)  7 S 3.17-3.47
Na (0.0016, 0.7500, 0.0916)  4 S 2.60-2.76, 2 Na 2.82
Na (0.4984, 0.2500, 0.5916)  4 S 2.60-2.76, 2 Na 2.82
Na (0.5016, 0.7500, 0.4084)  4 S 2.60-2.76, 2 Na 2.82
Na (0.9984, 0.2500, 0.9084)  4 S 2.60-2.76, 2 Na 2.82
Lu (0.0170, 0.2500, 0.3393)  6 S 2.63-2.77
Lu (0.4830, 0.7500, 0.8393)  6 S 2.63-2.77
Lu (0.5170, 0.2500, 0.1607)  6 S 2.63-2.77
Lu (0.9830, 0.7500, 0.6607)  6 S 2.63-2.77
S (0.0928, 0.2500, 0.5712)  3 Lu 2.63-2.76
S (0.1066, 0.7500, 0.8673)  3 Na 2.62-2.76, 1 Lu 2.76
S (0.1350, 0.7500, 0.2656)  1 Na 2.60, 2 Lu 2.77
S (0.3650, 0.2500, 0.7656)  1 Na 2.60, 2 Lu 2.77
S (0.3934, 0.2500, 0.3673)  3 Na 2.62-2.76, 1 Lu 2.76
S (0.4072, 0.7500, 0.0712)  3 Lu 2.63-2.76
S (0.5928, 0.2500, 0.9288)  3 Lu 2.63-2.76
S (0.6066, 0.7500, 0.6327)  3 Na 2.62-2.76, 1 Lu 2.76
S (0.6350, 0.7500, 0.2344)  1 Na 2.60, 2 Lu 2.77
S (0.8650, 0.2500, 0.7344)  1 Na 2.60, 2 Lu 2.77
S (0.8934, 0.2500, 0.1327)  3 Na 2.62-2.76, 1 Lu 2.76
S (0.9072, 0.7500, 0.4288)  3 Lu 2.63-2.76

Computed properties:
Volume ... 152.0 Å³/f.u.
ρ ... 4.7 Mg/m³
Energy relative to the lowest polymorph listed for this composition ... 0.0 meV/atom
Final energy ... -5.11 eV per atom
Space group ... Pnma, No. 62

No. 10
Density functional theory data (PBE) for a relaxed Sm6Ge2C crystal.

Lattice parameters (Å, degrees): 6.3518 7.9579 11.3051 90.00 122.35 90.00
Last column: nearest neighbours and their distance in Å.
Atoms (fractional coordinates):
Sm (0.1143, 0.1604, 0.4448)  1 C 2.53
Sm (0.1143, 0.3396, 0.9448)  1 C 2.53
Sm (0.3075, 0.7062, 0.4467)  1 C 2.56
Sm (0.3075, 0.7938, 0.9467)  1 C 2.56
Sm (0.3655, 0.0343, 0.2494)  1 C 2.50
Sm (0.3655, 0.4657, 0.7494)  1 C 2.50
Sm (0.6345, 0.5343, 0.2506)  1 C 2.50
Sm (0.6345, 0.9657, 0.7506)  1 C 2.50
Sm (0.6925, 0.2062, 0.0533)  1 C 2.56
Sm (0.6925, 0.2938, 0.5533)  1 C 2.56
Sm (0.8857, 0.6604, 0.0552)  1 C 2.53
Sm (0.8857, 0.8396, 0.5552)  1 C 2.53
Ge (0.1888, 0.1128, 0.7574)  8 Sm 2.99-3.33
Ge (0.1888, 0.3872, 0.2574)  8 Sm 2.99-3.33
Ge (0.8112, 0.6128, 0.7426)  8 Sm 2.99-3.33
Ge (0.8112, 0.8872, 0.2426)  8 Sm 2.99-3.33
C (0.5000, 0.0000, 0.5000)  6 Sm 2.50-2.56
C (0.5000, 0.5000, 0.0000)  6 Sm 2.50-2.56

Computed properties:
Volume ... 241.4 Å³/f.u.
ρ ... 7.3 Mg/m³
Final energy ... -5.67 eV per atom
Space group ... P2_1/c, No. 14

No. 11
Density functional theory data (PBE) for a relaxed GdScNO crystal.

Lattice parameters (Å, degrees): 4.8191 3.9928 6.3103 90.00 90.00 90.00
Last column: nearest neighbours and their distance in Å.
Atoms (fractional coordinates):
Gd (0.2500, 0.0000, 0.1764)  2 O 2.29, 3 N 2.40-2.42
Gd (0.7500, 0.0000, 0.8236)  2 O 2.29, 3 N 2.40-2.42
Sc (0.2500, 0.5000, 0.6834)  1 O 2.08, 2 N 2.12
Sc (0.7500, 0.5000, 0.3166)  1 O 2.08, 2 N 2.12
N (0.2500, 0.0000, 0.7954)  2 Sc 2.12
N (0.7500, 0.0000, 0.2046)  2 Sc 2.12
O (0.2500, 0.5000, 0.3534)  1 Sc 2.08, 2 Gd 2.29
O (0.7500, 0.5000, 0.6466)  1 Sc 2.08, 2 Gd 2.29

Computed properties:
Volume ... 60.7 Å³/f.u.
ρ ... 6.4 Mg/m³
Energy relative to the lowest polymorph listed for this composition ... 39.9 meV/atom
Final energy ... -8.29 eV per atom
Space group ... Pmma, No. 51

No. 12
Density functional theory data (PBE) for a relaxed FeCoSnSe3 crystal.

Lattice parameters (Å, degrees): 7.0885 7.0885 9.5140 90.00 90.00 150.75
Last column: nearest neighbours and their distance in Å.
Atoms (fractional coordinates):
Fe (0.0389, 0.9611, 0.7500)  4 Se 2.37
Fe (0.9611, 0.0389, 0.2500)  4 Se 2.37
Co (0.5000, 0.5000, 0.0000)  6 Se 2.47-2.59
Co (0.5000, 0.5000, 0.5000)  6 Se 2.47-2.59
Sn (0.2838, 0.7162, 0.2500)  2 Fe 3.02, 4 Se 3.03
Sn (0.7162, 0.2838, 0.7500)  2 Fe 3.02, 4 Se 3.03
Se (0.1220, 0.8780, 0.5316)  1 Fe 2.37, 2 Co 2.47
Se (0.1220, 0.8780, 0.9684)  1 Fe 2.37, 2 Co 2.47
Se (0.4256, 0.5744, 0.7500)  2 Fe 2.37, 2 Co 2.59
Se (0.5744, 0.4256, 0.2500)  2 Fe 2.37, 2 Co 2.59
Se (0.8780, 0.1220, 0.0316)  1 Fe 2.37, 2 Co 2.47
Se (0.8780, 0.1220, 0.4684)  1 Fe 2.37, 2 Co 2.47

Computed properties:
Volume ... 116.8 Å³/f.u.
ρ ... 6.7 Mg/m³
Energy relative to the lowest polymorph listed for this composition ... 11.2 meV/atom
Final energy ... -5.12 eV per atom
Space group ... Cmcm, No. 63